MoCO3 after structural relaxation. Source: Alexandria via LeMat-Bulk, functional PBE with a Hubbard U.

Properties
Space-group type: Pm-3m
Total magnetic moment (μB per formula unit): 2.00
Electronic total energy (eV/atom): -5.903

Structure (extended XYZ):
```
5
Lattice="-0.189 2.741 -2.725 -3.790 0.403 0.668 0.756 2.702 2.665" Properties=species:S:1:pos:R:3 pbc="T T T"
Mo 0.000 0.000 0.000
O -1.895 0.201 0.334
O 0.378 1.351 1.332
O -0.094 1.370 -1.363
C -1.611 2.923 0.303
```